# 1
A relaxed structure of H3WCl, computed with PBE.

Calculated values
Energy relative to the lowest polymorph listed for this composition, meV/atom: 0

a b c (Å): 3.711 3.711 3.711
angles (deg): 90.00 90.00 90.00
Each line ends with the local moment (μB).
Positions (direct):
W  0.000  0.000  0.000  1.70
H  0.500  0.000  0.000  -0.02
H  0.000  0.500  0.000  -0.02
H  0.000  0.000  0.500  -0.02
Cl  0.500  0.500  0.500  0.01



# 2
A relaxed structure of HW2Cl, computed with PBE.

Calculated values
Energy relative to the lowest polymorph listed for this composition, meV/atom: 0

a b c (Å): 4.823 4.823 5.948
angles (deg): 66.08 66.08 90.00
Positions (direct):
W  0.508  0.125  0.250
W  0.375  0.492  0.750
W  0.875  0.758  0.750
W  0.242  0.625  0.250
H  0.250  0.750  0.500
H  0.500  0.500  0.000
Cl  0.000  0.000  0.000
Cl  0.750  0.250  0.500



# 3
A relaxed structure of H2WCl8, computed with PBE.

Calculated values
Energy relative to the lowest polymorph listed for this composition, meV/atom: 0

a b c (Å): 7.064 6.997 10.069
angles (deg): 117.95 90.00 120.32
Positions (direct):
H  0.230  0.460  0.453
H  0.770  0.540  0.547
Cl  0.390  0.321  0.109
Cl  0.007  0.013  0.774
Cl  0.643  0.286  0.455
Cl  0.610  0.679  0.891
Cl  0.357  0.714  0.545
Cl  0.931  0.321  0.109
Cl  0.069  0.679  0.891
Cl  0.993  0.987  0.226
W  0.000  0.000  0.000



# 4
A relaxed structure of H12WCl6, computed with PBE.

Calculated values
Total DFT energy (no corrections), eV per formula unit: -67.4

a b c (Å): 7.479 7.478 7.479
angles (deg): 76.88 76.88 76.88
Each line ends with the local moment (μB).
Positions (direct):
H  0.917  0.509  0.579  0.00
H  0.783  0.878  0.770  0.00
H  0.508  0.952  0.588  0.00
H  0.770  0.783  0.878  0.00
H  0.878  0.770  0.783  0.00
H  0.509  0.579  0.917  0.00
H  0.588  0.508  0.952  0.00
H  0.209  0.113  0.221  0.00
H  0.579  0.917  0.509  0.00
H  0.952  0.588  0.508  0.00
H  0.113  0.221  0.209  0.00
H  0.221  0.209  0.113  0.00
Cl  0.808  0.138  0.763  0.01
Cl  0.763  0.808  0.138  0.01
Cl  0.854  0.229  0.186  0.01
Cl  0.138  0.763  0.808  0.01
Cl  0.229  0.186  0.854  0.01
Cl  0.186  0.854  0.229  0.01
W  0.996  0.996  0.996  1.49



# 5
A relaxed structure of HWCl3, computed with PBE.

Calculated values
Energy relative to the lowest polymorph listed for this composition, meV/atom: 0

a b c (Å): 4.796 4.796 4.796
angles (deg): 90.00 90.00 90.00
Each line ends with the local moment (μB).
Positions (direct):
Cl  0.000  0.500  0.000  0.04
Cl  0.000  0.000  0.500  0.02
Cl  0.500  0.000  0.000  0.10
W  0.000  0.000  0.000  0.93
H  0.500  0.500  0.500  0.38



# 6
A relaxed structure of H3WCl, computed with PBE.

Calculated values
Energy relative to the lowest polymorph listed for this composition, meV/atom: 1203

a b c (Å): 3.483 3.483 3.483
angles (deg): 90.00 90.00 90.00
Positions (direct):
H  0.500  0.000  0.000
H  0.000  0.500  0.000
H  0.000  0.000  0.500
W  0.500  0.500  0.500
Cl  0.000  0.000  0.000



# 7
A relaxed structure of HWCl, computed with PBE.

Calculated values
Total DFT energy (no corrections), eV per formula unit: -18.5

a b c (Å): 3.283 3.353 10.018
angles (deg): 109.53 97.90 90.02
Positions (direct):
W  0.249  0.676  0.428
W  0.751  0.324  0.572
H  0.469  0.873  0.622
H  0.531  0.127  0.378
Cl  0.058  0.433  0.185
Cl  0.942  0.567  0.815



# 8
A relaxed structure of HWCl3, computed with PBE.

Calculated values
Energy relative to the lowest polymorph listed for this composition, meV/atom: 814

a b c (Å): 4.320 4.320 4.320
angles (deg): 90.00 90.00 90.00
Each line ends with the local moment (μB).
Positions (direct):
Cl  0.500  0.000  0.000  -0.01
Cl  0.000  0.500  0.000  -0.05
Cl  0.000  0.000  0.500  -0.01
H  0.000  0.000  0.000  0.02
W  0.500  0.500  0.500  2.94



# 9
A relaxed structure of HW2Cl6, computed with PBE.

Calculated values
Total DFT energy (no corrections), eV per formula unit: -44.3

a b c (Å): 7.325 9.758 9.758
angles (deg): 80.68 65.21 65.21
Each line ends with the local moment (μB).
Positions (direct):
Cl  0.988  0.808  0.989  0.02
Cl  0.020  0.587  0.715  0.03
Cl  0.480  0.285  0.413  0.03
Cl  0.043  0.125  0.634  0.01
Cl  0.488  0.989  0.808  0.02
Cl  0.957  0.875  0.366  0.01
Cl  0.012  0.192  0.011  0.02
Cl  0.457  0.366  0.875  0.01
Cl  0.520  0.715  0.587  0.03
Cl  0.512  0.011  0.192  0.02
Cl  0.980  0.413  0.285  0.03
Cl  0.543  0.634  0.125  0.01
H  0.250  0.108  0.892  0.00
H  0.750  0.892  0.108  0.00
W  0.119  0.549  0.915  0.31
W  0.381  0.085  0.451  0.31
W  0.881  0.451  0.085  0.31
W  0.619  0.915  0.549  0.31



# 10
A relaxed structure of H6WCl12, computed with PBE.

Calculated values
Total DFT energy (no corrections), eV per formula unit: -67.5

a b c (Å): 10.343 10.343 10.343
angles (deg): 115.99 115.99 115.99
Positions (direct):
H  0.037  0.609  0.286
H  0.391  0.714  0.963
H  0.286  0.037  0.609
H  0.963  0.391  0.714
H  0.714  0.963  0.391
H  0.609  0.286  0.037
Cl  0.226  0.311  0.098
Cl  0.806  0.226  0.657
Cl  0.098  0.226  0.311
Cl  0.343  0.194  0.774
Cl  0.774  0.689  0.902
Cl  0.226  0.657  0.806
Cl  0.689  0.902  0.774
Cl  0.657  0.806  0.226
Cl  0.311  0.098  0.226
Cl  0.774  0.343  0.194
Cl  0.194  0.774  0.343
Cl  0.902  0.774  0.689
W  0.000  0.000  0.000



# 11
A relaxed structure of H4WCl, computed with PBE.

Calculated values
Total DFT energy (no corrections), eV per formula unit: -26.7

a b c (Å): 2.763 2.763 8.358
angles (deg): 90.00 89.99 90.00
Positions (direct):
H  0.497  0.001  0.154
H  0.997  0.501  0.850
H  0.997  0.501  0.154
H  0.497  0.001  0.850
Cl  0.997  0.002  0.502
W  0.497  0.501  0.002



# 12
A relaxed structure of H2WCl4, computed with PBE.

Calculated values
Total DFT energy (no corrections), eV per formula unit: -28.2

a b c (Å): 3.319 7.480 8.818
angles (deg): 99.46 118.90 84.09
Each line ends with the local moment (μB).
Positions (direct):
Cl  0.623  0.216  0.135  0.04
Cl  0.377  0.784  0.865  0.04
Cl  0.303  0.737  0.380  0.01
Cl  0.697  0.263  0.620  0.01
H  0.261  0.242  0.516  0.00
H  0.739  0.758  0.484  0.00
W  0.000  0.000  0.000  2.42



# 13
A relaxed structure of HW2Cl, computed with PBE.

Calculated values
Energy relative to the lowest polymorph listed for this composition, meV/atom: 756

a b c (Å): 4.132 4.132 4.132
angles (deg): 60.00 60.00 60.00
Positions (direct):
Cl  0.500  0.500  0.500
W  0.250  0.250  0.250
W  0.750  0.750  0.750
H  0.000  0.000  0.000



# 14
A relaxed structure of H3WCl6, computed with PBE.

Calculated values
Total DFT energy (no corrections), eV per formula unit: -35.8

a b c (Å): 8.014 8.014 8.014
angles (deg): 91.41 91.41 91.41
Each line ends with the local moment (μB).
Positions (direct):
W  0.500  0.500  0.500  0.91
W  0.000  0.000  0.000  -0.94
Cl  0.198  0.906  0.198  -0.01
Cl  0.452  0.198  0.452  -0.01
Cl  0.198  0.198  0.906  -0.01
Cl  0.906  0.198  0.198  -0.01
Cl  0.802  0.548  0.548  -0.01
Cl  0.802  0.094  0.802  -0.01
Cl  0.094  0.802  0.802  -0.01
Cl  0.548  0.802  0.548  -0.01
Cl  0.548  0.548  0.802  -0.01
Cl  0.802  0.802  0.094  -0.01
Cl  0.452  0.452  0.198  -0.01
Cl  0.198  0.452  0.452  -0.01
H  0.737  0.550  0.737  0.01
H  0.263  0.450  0.263  0.01
H  0.263  0.263  0.450  0.01
H  0.450  0.263  0.263  0.01
H  0.550  0.737  0.737  0.01
H  0.737  0.737  0.550  0.01



# 15
A relaxed structure of YHCl, computed with PBE.

Calculated values
Total DFT energy (no corrections), eV per formula unit: -14.7

a b c (Å): 3.297 3.297 5.256
angles (deg): 108.28 108.28 90.00
Positions (direct):
Cl  0.010  0.010  0.019
Y  0.709  0.709  0.418
H  0.281  0.281  0.563



# 16
A relaxed structure of Y2HCl3, computed with PBE.

Calculated values
Total DFT energy (no corrections), eV per formula unit: -31.8

a b c (Å): 3.759 8.522 9.796
angles (deg): 70.55 78.94 77.26
Each line ends with the local moment (μB).
Positions (direct):
Cl  0.665  0.680  0.990  0.00
Cl  0.215  0.187  0.383  0.00
Cl  0.040  0.167  0.753  0.00
Cl  0.335  0.320  0.010  0.00
Cl  0.785  0.813  0.617  0.00
Cl  0.960  0.833  0.247  0.00
H  0.578  0.511  0.333  -0.01
H  0.422  0.489  0.667  -0.01
Y  0.860  0.480  0.801  0.29
Y  0.140  0.520  0.199  0.29
Y  0.418  0.704  0.459  0.26
Y  0.582  0.296  0.541  0.26



# 17
A relaxed structure of YHCl3, computed with PBE.

Calculated values
Energy relative to the lowest polymorph listed for this composition, meV/atom: 624

a b c (Å): 4.416 4.416 4.416
angles (deg): 90.00 90.00 90.00
Positions (direct):
Cl  0.000  0.000  0.500
Cl  0.500  0.000  0.000
Cl  0.000  0.500  0.000
Y  0.500  0.500  0.500
H  0.000  0.000  0.000



# 18
A relaxed structure of YH2Cl, computed with PBE.

Calculated values
Energy relative to the lowest polymorph listed for this composition, meV/atom: 0

a b c (Å): 4.297 4.297 7.484
angles (deg): 73.32 73.32 90.00
Positions (direct):
H  0.875  0.126  0.750
H  0.876  0.125  0.250
H  0.874  0.625  0.250
H  0.375  0.124  0.750
Y  0.000  0.000  0.000
Y  0.750  0.250  0.500
Cl  0.250  0.750  0.500
Cl  0.500  0.500  0.000



# 19
A relaxed structure of YHCl, computed with PBE.

Calculated values
Total DFT energy (no corrections), eV per formula unit: -15.4

a b c (Å): 3.634 7.052 10.015
angles (deg): 102.78 100.45 90.00
Positions (direct):
H  0.250  0.136  0.500
H  0.750  0.864  0.500
H  0.751  0.381  0.503
H  0.249  0.619  0.497
Cl  0.427  0.227  0.854
Cl  0.890  0.713  0.780
Cl  0.110  0.287  0.220
Cl  0.573  0.773  0.146
Y  0.325  0.411  0.649
Y  0.675  0.589  0.351
Y  0.314  0.922  0.628
Y  0.686  0.078  0.372



# 20
A relaxed structure of YHCl3, computed with PBE.

Calculated values
Energy relative to the lowest polymorph listed for this composition, meV/atom: 0

a b c (Å): 7.222 7.223 8.106
angles (deg): 90.03 63.61 59.99
Each line ends with the local moment (μB).
Positions (direct):
Cl  0.372  0.519  0.500  0.01
Cl  0.372  0.018  0.500  0.01
Cl  0.554  0.178  0.979  0.01
Cl  0.054  0.678  0.979  0.01
Cl  0.054  0.178  0.979  0.01
Cl  0.873  0.018  0.500  0.01
Y  0.380  0.265  0.739  0.00
Y  0.046  0.932  0.740  0.00
H  0.893  0.509  0.471  0.38
H  0.534  0.688  0.009  0.38